1.
## Ti2VN (GGA-PBE)

Data for an optimized crystal structure of Ti2VN.

Properties
- SG = I-42d (122)
- E above lowest polymorph (meV per atom) = 728
- D(E_F) (states/eV/atom) = 0.9449

abc: 5.8088 5.8088 7.5438
angles: 90.00 90.00 90.00
Fractional coordinates of all 16 atoms:
Ti1 0.1460 0.2500 0.1250
Ti2 0.2500 0.6460 0.3750
Ti3 0.2500 0.8540 0.8750
Ti4 0.3540 0.2500 0.6250
Ti5 0.6460 0.7500 0.6250
Ti6 0.7500 0.1460 0.8750
Ti7 0.7500 0.3540 0.3750
Ti8 0.8540 0.7500 0.1250
V1 0.0000 0.0000 0.5000
V2 0.0000 0.5000 0.7500
V3 0.5000 0.0000 0.2500
V4 0.5000 0.5000 0.0000
N1 0.0000 0.0000 0.0000
N2 0.0000 0.5000 0.2500
N3 0.5000 0.0000 0.7500
N4 0.5000 0.5000 0.5000

***

2.
## Pm5Ho12Tm2 (GGA-PBE)

Data for an optimized crystal structure of Pm5Ho12Tm2.

Properties
- SG = P-1 (2)
- E above lowest polymorph (meV per atom) = 0
- D(E_F) (states/eV/atom) = 1.5582
- energy of formation from the pure elements (meV/atom) = 119.6

abc: 6.0018 9.7446 11.2214
angles: 70.03 82.75 88.69
Fractional coordinates of all 19 atoms:
Pm1 0.0000 0.0000 0.0000
Pm2 0.0992 0.9641 0.3451
Pm3 0.4964 0.4568 0.1675
Pm4 0.5036 0.5432 0.8325
Pm5 0.9008 0.0359 0.6549
Ho1 0.0397 0.6823 0.6582
Ho2 0.0697 0.3170 0.0388
Ho3 0.1641 0.3166 0.7240
Ho4 0.3869 0.9022 0.7886
Ho5 0.4292 0.8222 0.1087
Ho6 0.4299 0.1829 0.4863
Ho7 0.5701 0.8171 0.5137
Ho8 0.5708 0.1778 0.8913
Ho9 0.6131 0.0978 0.2114
Ho10 0.8359 0.6834 0.2760
Ho11 0.9303 0.6830 0.9612
Ho12 0.9603 0.3177 0.3418
Tm1 0.2831 0.5653 0.4216
Tm2 0.7169 0.4347 0.5784

***

3.
## La2NdAl (GGA-PBE)

Data for an optimized crystal structure of La2NdAl.

Properties
- SG = P4/mmm (123)
- E above lowest polymorph (meV per atom) = 43
- D(E_F) (states/eV/atom) = 1.1804
- energy of formation from the pure elements (meV/atom) = -149.8

abc: 3.7593 3.7593 9.0443
angles: 90.00 90.00 90.00
Fractional coordinates of all 4 atoms:
La1 0.0000 0.0000 0.2090
La2 0.0000 0.0000 0.7910
Nd1 0.5000 0.5000 0.5000
Al1 0.5000 0.5000 0.0000